(1)
Ce4SmPa3N8 after structural relaxation, computed with PBE.

a b c (Å): 7.0903 7.0903 17.3958
angles (deg): 90.00 90.00 120.00
With the nearest neighbours (Å) after each atom.
Space group R-3m (No. 166, hexagonal axes)
One atom of each set of equivalent atoms:
Ce: 0.0000 0.0000 0.0000 x3  6 N 2.50
Ce: 0.0000 0.5000 0.0000 x9  6 N 2.60-2.61
Sm: 0.0000 0.0000 0.5000 x3  6 N 2.52
Pa: 0.0000 0.5000 0.5000 x9  6 N 2.41-2.43
N: 0.0000 0.0000 0.2415 x6  3 Pa 2.43, 3 Ce 2.60
N: 0.0152 0.5076 0.7565 x18  2 Pa 2.41, 3 Ce 2.50-2.61, 1 Sm 2.52

Properties
Its uncorrected energy is -9.313 eV/atom. As for the formation energy (no corrections): -1.592 eV/atom.

=====

(2)
Ce2PaSnN5 after structural relaxation, computed with PBE.

a b c (Å): 3.5110 14.1218 11.5323
angles (deg): 90.00 90.00 90.00
With the nearest neighbours (Å) after each atom.
Space group Cmc2_1 (No. 36)
One atom of each set of equivalent atoms:
Ce: 0.0000 0.1281 0.0000 x4  3 N 2.37-2.44
Ce: 0.0000 0.1291 0.5194 x4  6 N 2.38-2.62
Pa: 0.0000 0.2393 0.2714 x4  6 N 2.22-2.35
Sn: 0.0000 0.4967 0.7520 x4  4 N 2.09-2.11
N: 0.0000 0.0748 0.3019 x4  2 Sn 2.11, 1 Pa 2.35
N: 0.0000 0.2677 0.6372 x4  2 Pa 2.34, 1 Ce 2.38
N: 0.0000 0.2769 0.9045 x4  2 Pa 2.34, 3 Ce 2.37-2.57
N: 0.0000 0.3814 0.3541 x4  1 Sn 2.09, 1 Pa 2.22
N: 0.0000 0.4840 0.0720 x4  1 Sn 2.09

Properties
Its uncorrected energy is -8.462 eV/atom. As for the formation energy (no corrections): -1.018 eV/atom.

=====

(3)
Sr3CePa2N6 after structural relaxation, computed with PBE.

a b c (Å): 15.8916 3.6375 7.3339
angles (deg): 90.00 103.91 90.00
With the nearest neighbours (Å) after each atom.
Space group C2/m (No. 12)
One atom of each set of equivalent atoms:
Sr: 0.0000 0.0000 0.0000 x2  6 N 2.71-2.79
Sr: 0.1650 0.5000 0.3340 x4  6 N 2.70-2.84
Ce: 0.0000 0.0000 0.5000 x2  6 N 2.49-2.51
Pa: 0.1665 0.5000 0.8306 x4  6 N 2.28-2.41
N: 0.0189 0.5000 0.7388 x4  1 Pa 2.28, 2 Ce 2.49
N: 0.1616 0.0000 0.6223 x4  2 Pa 2.36, 1 Ce 2.51
N: 0.1798 0.0000 0.0504 x4  3 Pa 2.39-2.41

Properties
Its uncorrected energy is -7.991 eV/atom. As for the formation energy (no corrections): -1.331 eV/atom.

=====

(4)
SrCePa4N8 after structural relaxation, computed with PBE.

a b c (Å): 7.0904 7.0904 17.2009
angles (deg): 90.00 90.00 120.00
With the nearest neighbours (Å) after each atom.
Space group R3m (No. 160, hexagonal axes)
One atom of each set of equivalent atoms:
Sr: 0.0000 0.0000 0.0000 x3  4 N 2.56-2.60
Ce: 0.0000 0.0000 0.6216 x3  6 N 2.35-2.55
Pa: 0.0000 0.0000 0.2424 x3  4 N 2.27-2.36
Pa: 0.1692 0.3384 0.4538 x9  6 N 2.23-2.44
N: 0.0000 0.0000 0.3794 x3  4 Pa 2.36-2.44
N: 0.0000 0.0000 0.8487 x3  3 Pa 2.28
N: 0.0585 0.5293 0.3837 x9  2 Pa 2.23, 1 Ce 2.35
N: 0.1723 0.3446 0.1948 x9  3 Pa 2.27-2.40

Properties
Its uncorrected energy is -9.483 eV/atom. As for the formation energy (no corrections): -1.469 eV/atom.

=====

(5)
Sr3Ce2PaN6 after structural relaxation, computed with PBE.

a b c (Å): 6.3230 10.9510 6.3673
angles (deg): 90.00 109.34 90.00
With the nearest neighbours (Å) after each atom.
Space group C2/m (No. 12)
One atom of each set of equivalent atoms:
Sr: 0.0000 0.0000 0.0000 x2  6 N 2.72-2.84
Sr: 0.0000 0.3326 0.0000 x4  6 N 2.73-2.83
Ce: 0.0000 0.1666 0.5000 x4  6 N 2.48
Pa: 0.0000 0.5000 0.5000 x2  6 N 2.35-2.36
N: 0.2272 0.3408 0.7036 x8  1 Pa 2.36, 2 Ce 2.48
N: 0.2496 0.0000 0.7032 x4  1 Pa 2.35, 2 Ce 2.48

Properties
Its uncorrected energy is -7.652 eV/atom. As for the formation energy (no corrections): -1.289 eV/atom.

=====

(6)
Sr2CePaN4 after structural relaxation, computed with PBE.

a b c (Å): 6.3040 3.6462 6.3560
angles (deg): 90.00 109.16 90.00
With the nearest neighbours (Å) after each atom.
Space group P2/m (No. 10)
One atom of each set of equivalent atoms:
Sr: 0.0000 0.0000 0.0000 x1  6 N 2.81-2.86
Sr: 0.5000 0.5000 0.0000 x1  6 N 2.70-2.73
Ce: 0.0000 0.5000 0.5000 x1  6 N 2.48-2.49
Pa: 0.5000 0.0000 0.5000 x1  6 N 2.31-2.39
N: 0.2526 0.0000 0.7004 x2  1 Pa 2.31, 2 Ce 2.48
N: 0.2799 0.5000 0.3003 x2  2 Pa 2.39, 1 Ce 2.49

Properties
Its uncorrected energy is -7.825 eV/atom. As for the formation energy (no corrections): -1.313 eV/atom.

=====

(7)
SrCe2PaN4 after structural relaxation, computed with PBE.

a b c (Å): 5.0958 5.0958 10.1890
angles (deg): 90.00 90.00 90.00
With the nearest neighbours (Å) after each atom.
Space group I-4m2 (No. 119)
One atom of each set of equivalent atoms:
Sr: 0.0000 0.0000 0.0000 x2  6 N 2.57-2.68
Ce: 0.0000 0.0000 0.5000 x2  6 N 2.42-2.57
Ce: 0.0000 0.5000 0.2500 x2  6 N 2.55-2.85
Pa: 0.0000 0.5000 0.7500 x2  2 N 2.25
N: 0.0000 0.0000 0.2628 x4  3 Ce 2.42-2.55, 2 Pa 2.55, 1 Sr 2.68
N: 0.0000 0.5000 0.5294 x4  1 Pa 2.25

Properties
Its uncorrected energy is -8.374 eV/atom. As for the formation energy (no corrections): -1.331 eV/atom.

=====

(8)
SrCe3Pa4N12 after structural relaxation, computed with PBE.

a b c (Å): 8.5845 8.5845 8.5845
angles (deg): 90.00 90.00 90.00
With the nearest neighbours (Å) after each atom.
Space group Im-3 (No. 204)
One atom of each set of equivalent atoms:
Sr: 0.0000 0.0000 0.0000 x2  12 N 3.11
Ce: 0.0000 0.0000 0.5000 x6  4 N 2.32
Pa: 0.2500 0.2500 0.2500 x8  6 N 2.26
N: 0.0000 0.1906 0.3086 x24  2 Pa 2.26, 1 Ce 2.32

Properties
Its uncorrected energy is -9.191 eV/atom. As for the formation energy (no corrections): -1.323 eV/atom.

=====

The following Fermi-level density of states values (in states/eV per cell) correspond, in order, to the records above: 46.41, 40.67, 13.86, 24.72, 11.49, 3.95, 16.46, 44.85.